Entry from the Alexandria database: a relaxed structure of CrFeCo2 (PBE-GGA).

Values from the calculation:
ΔH_f (0 K) = 0.095 eV per atom
total energy = -7.9796 eV per atom
space group = Cm

abc: 8.2714 2.5004 4.3266
angles: 90.00 99.90 90.00
Fractional coordinates of all 8 atoms:
Cr 0.0000 0.0000 0.0000
Cr 0.5000 0.5000 0.0000
Fe 0.2559 0.5000 0.2652
Fe 0.7559 0.0000 0.2652
Co 0.0058 0.5000 0.5112
Co 0.2501 0.0000 0.7594
Co 0.5058 0.0000 0.5112
Co 0.7501 0.5000 0.7594